Computed, not measured: a relaxed Sm2AlGaPd6 crystal at the GGA-PBE level of DFT.

The space-group type is C2/m, No. 12. Its density of states at the Fermi level is 3.46 states/eV/f.u. Its total energy is -5.398 eV/atom. The value obtained for the theoretical density is 8.10 g cm⁻³.

Cell: 5.7013 8.2409 5.6988 Å, 69.60 59.98 89.92°
Closest atoms and distances in Å follow each position.
Fractional positions:
Sm (0.2086, 0.6251, 0.5822)  9 Pd 2.99-3.26
Sm (0.7914, 0.3749, 0.4178)  9 Pd 2.99-3.26
Ga (0.0000, 0.0000, 0.0000)  6 Pd 2.51-2.52
Pd (0.7494, 0.7459, 0.5000)  1 Al 2.49, 1 Ga 2.51
Pd (0.7504, 0.7473, 0.9999)  1 Al 2.49, 1 Ga 2.52
Pd (0.2482, 0.7466, 0.0005)  1 Al 2.49, 1 Ga 2.52
Pd (0.7518, 0.2534, 0.9995)  1 Al 2.49, 1 Ga 2.52
Pd (0.2496, 0.2527, 0.0001)  1 Al 2.49, 1 Ga 2.52
Pd (0.2506, 0.2541, 0.5000)  1 Al 2.49, 1 Ga 2.51
Al (0.5000, 0.5000, 0.0000)  6 Pd 2.49